# 1
Compound: ScOsSe2
Source: Alexandria
Functional: GGA-PBEsol
Structure: relaxed

Cell lengths 3.239, 3.239, 6.606 Å; angles 90.00, 90.00, 103.78 degrees
Fractional positions:
Os: 0.500 0.500 0.500
Sc: 0.500 0.500 0.000
Se: 0.000 0.000 0.264
Se: 0.000 0.000 0.736

As for the formation energy without anion corrections: -0.144 eV/atom. For the energy above the most stable polymorph in this dataset, the calculation gives 153 meV/atom. The space-group type is Cmmm, No. 65.

=====

# 2
Compound: ScOs2Se
Source: Alexandria
Functional: GGA-PBEsol
Structure: relaxed

Cell lengths 2.813, 2.813, 8.872 Å; angles 90.00, 90.00, 115.81 degrees
Fractional positions:
Os: 0.000 0.000 0.254
Os: 0.000 0.000 0.746
Sc: 0.500 0.500 0.500
Se: 0.500 0.500 0.000

As for the formation energy without anion corrections: 0.440 eV/atom. The space-group type is Cmmm, No. 65.

=====

# 3
Compound: ScOs2Se
Source: Alexandria
Functional: GGA-PBEsol
Structure: relaxed

Cell lengths 3.792, 3.792, 5.026 Å; angles 112.16, 112.16, 90.00 degrees
Fractional positions:
Os: 0.000 0.000 0.000
Os: 0.750 0.250 0.500
Sc: 0.500 0.500 0.000
Se: 0.250 0.750 0.500

As for the formation energy without anion corrections: 0.197 eV/atom. The space-group type is I-4m2, No. 119.

=====

# 4
Compound: ScOsSe2
Source: Alexandria
Functional: GGA-PBEsol
Structure: relaxed

Cell lengths 4.522, 4.522, 4.522 Å; angles 60.00, 60.00, 60.00 degrees
Fractional positions:
Os: 0.500 0.500 0.500
Sc: 0.000 0.000 0.000
Se: 0.250 0.250 0.250
Se: 0.750 0.750 0.750

As for the formation energy without anion corrections: -0.298 eV/atom. For the energy above the most stable polymorph in this dataset, the calculation gives 0 meV/atom. The space-group type is Fm-3m, No. 225.

=====

# 5
Compound: Sc3OsSe
Source: Alexandria
Functional: GGA-PBEsol
Structure: relaxed

Cell lengths 4.775, 4.775, 4.775 Å; angles 90.00, 90.00, 90.00 degrees
Fractional positions:
Sc: 0.000 0.500 0.000
Sc: 0.000 0.000 0.500
Sc: 0.500 0.000 0.000
Os: 0.500 0.500 0.500
Se: 0.000 0.000 0.000

As for the formation energy without anion corrections: 0.156 eV/atom. The space-group type is Pm-3m, No. 221.

=====

# 6
Compound: ScOs2Se
Source: Alexandria
Functional: GGA-PBEsol
Structure: relaxed

Cell lengths 2.899, 2.899, 8.828 Å; angles 80.55, 80.55, 60.00 degrees
Fractional positions:
Os: 0.001 0.001 0.997
Os: 0.745 0.745 0.764
Sc: 0.501 0.501 0.498
Se: 0.253 0.253 0.242

As for the formation energy without anion corrections: 0.209 eV/atom. The space-group type is R3m, No. 160.

=====

# 7
Compound: ScSi3Os
Source: Alexandria
Functional: GGA-PBEsol
Structure: relaxed

Cell lengths 4.587, 4.587, 4.587 Å; angles 90.00, 90.00, 90.00 degrees
Fractional positions:
Sc: 0.000 0.000 0.000
Si: 0.000 0.500 0.000
Si: 0.000 0.000 0.500
Si: 0.500 0.000 0.000
Os: 0.500 0.500 0.500

As for the formation energy without anion corrections: 1.849 eV/atom. The space-group type is Pm-3m, No. 221.

=====

# 8
Compound: Sr4ScOs
Source: Alexandria
Functional: GGA-PBEsol
Structure: relaxed

Cell lengths 6.402, 6.402, 6.402 Å; angles 60.00, 60.00, 60.00 degrees
Each line ends with the local moment (μB).
Fractional positions:
Os: 0.750 0.750 0.750  -0.28
Sc: 0.000 0.000 0.000  0.48
Sr: 0.377 0.377 0.377  0.06
Sr: 0.377 0.377 0.870  0.06
Sr: 0.870 0.377 0.377  0.06
Sr: 0.377 0.870 0.377  0.06

The space-group type is F-43m, No. 216.

=====

# 9
Compound: Sr2ScOs
Source: Alexandria
Functional: GGA-PBEsol
Structure: relaxed

Cell lengths 4.433, 4.437, 8.278 Å; angles 105.48, 90.00, 119.97 degrees
Fractional positions:
Os: 0.458 0.916 0.373
Sc: 0.792 0.584 0.375
Sr: 0.035 0.071 0.105
Sr: 0.215 0.430 0.646

For the energy above the most stable polymorph in this dataset, the calculation gives 30 meV/atom. The space-group type is Cm, No. 8.

=====

# 10
Compound: SrScOs3
Source: Alexandria
Functional: GGA-PBEsol
Structure: relaxed

Cell lengths 4.723, 4.723, 4.723 Å; angles 90.00, 90.00, 90.00 degrees
Fractional positions:
Sc: 0.500 0.500 0.500
Sr: 0.000 0.000 0.000
Os: 0.000 0.500 0.000
Os: 0.000 0.000 0.500
Os: 0.500 0.000 0.000

The space-group type is Pm-3m, No. 221.

=====

# 11
Compound: Sr2ScOs
Source: Alexandria
Functional: GGA-PBEsol
Structure: relaxed

Cell lengths 3.503, 3.503, 9.408 Å; angles 90.00, 90.00, 90.00 degrees
Fractional positions:
Os: 0.500 0.500 0.448
Sc: 0.000 0.000 0.333
Sr: 0.500 0.500 0.051
Sr: 0.000 0.000 0.668

For the energy above the most stable polymorph in this dataset, the calculation gives 0 meV/atom. The space-group type is P4mm, No. 99.

=====

# 12
Compound: ScTaOs2
Source: Alexandria
Functional: GGA-PBEsol
Structure: relaxed

Cell lengths 3.150, 4.475, 4.475 Å; angles 90.00, 90.00, 90.00 degrees
Fractional positions:
Sc: 0.500 0.500 0.500
Os: 0.000 0.000 0.500
Os: 0.000 0.500 0.000
Ta: 0.500 0.000 0.000

For the energy above the most stable polymorph in this dataset, the calculation gives 28 meV/atom. The space-group type is P4/mmm, No. 123.

=====

Electronic total energy list, top to bottom, in eV per cell: -27.10; -33.13; -34.10; -27.71; -35.10; -34.05; -26.82; -18.16; -21.66; -30.41; -21.77; -45.57